Entry 1:
DFT (PBE-GGA) results for crystalline La2Ho4Ge3H2 at its relaxed geometry.

Lattice parameters (Å, degrees): 12.351 12.351 12.351 158.50 158.50 30.59
Atoms (fractional coordinates):
La (0.200, 0.200, 0.000)
La (0.800, 0.800, 0.000)
Ho (0.078, 0.578, 0.500)
Ho (0.422, 0.922, 0.500)
Ho (0.578, 0.078, 0.500)
Ho (0.922, 0.422, 0.500)
Ge (0.334, 0.334, 0.000)
Ge (0.500, 0.500, 0.000)
Ge (0.666, 0.666, 0.000)
H (0.093, 0.093, 0.000)
H (0.907, 0.907, 0.000)

Results
calculated volume	253.0	Å³/f.u.
total energy	-5.07	eV per atom
mass density	7.6	g/cm³


Entry 2:
DFT (PBE-GGA) results for crystalline CaCoOs2 at its relaxed geometry.

Lattice parameters (Å, degrees): 9.034 2.799 5.434 90.00 100.38 90.00
Atoms (fractional coordinates):
Ca (0.000, 0.000, 0.000)
Ca (0.500, 0.500, 0.000)
Co (0.265, 0.500, 0.277)
Co (0.765, 0.000, 0.277)
Os (0.230, 0.000, 0.634)
Os (0.490, 0.000, 0.501)
Os (0.730, 0.500, 0.634)
Os (0.990, 0.500, 0.501)

Results
relative energy among the computed polymorphs	120	meV/atom
calculated volume	67.6	Å³/f.u.
total energy	-7.42	eV per atom
mass density	11.8	g/cm³


Entry 3:
DFT (PBE-GGA) results for crystalline RbV2Fe at its relaxed geometry.

Lattice parameters (Å, degrees): 6.685 6.685 6.685 90.00 90.00 90.00
Atoms (fractional coordinates):
Rb (0.000, 0.000, 0.000)
Rb (0.000, 0.500, 0.500)
Rb (0.500, 0.000, 0.500)
Rb (0.500, 0.500, 0.000)
V (0.250, 0.250, 0.250)
V (0.250, 0.250, 0.750)
V (0.250, 0.750, 0.250)
V (0.250, 0.750, 0.750)
V (0.750, 0.250, 0.250)
V (0.750, 0.250, 0.750)
V (0.750, 0.750, 0.250)
V (0.750, 0.750, 0.750)
Fe (0.000, 0.000, 0.500)
Fe (0.000, 0.500, 0.000)
Fe (0.500, 0.000, 0.000)
Fe (0.500, 0.500, 0.500)

Results
relative energy among the computed polymorphs	208	meV/atom
calculated volume	74.7	Å³/f.u.
total energy	-5.31	eV per atom
mass density	5.4	g/cm³


Entry 4:
DFT (PBE-GGA) results for crystalline KP2Se at its relaxed geometry.

Lattice parameters (Å, degrees): 7.592 7.592 7.796 90.00 90.00 90.00
Atoms (fractional coordinates):
K (0.000, 0.000, 0.000)
K (0.000, 0.500, 0.250)
K (0.500, 0.000, 0.750)
K (0.500, 0.500, 0.500)
P (0.147, 0.750, 0.625)
P (0.250, 0.147, 0.375)
P (0.250, 0.353, 0.875)
P (0.353, 0.750, 0.125)
P (0.647, 0.250, 0.125)
P (0.750, 0.647, 0.875)
P (0.750, 0.853, 0.375)
P (0.853, 0.250, 0.625)
Se (0.000, 0.000, 0.500)
Se (0.000, 0.500, 0.750)
Se (0.500, 0.000, 0.250)
Se (0.500, 0.500, 0.000)

Results
calculated volume	112.3	Å³/f.u.
total energy	-3.59	eV per atom
mass density	2.7	g/cm³


Entry 5:
DFT (PBE-GGA) results for crystalline BaAlCuTe2 at its relaxed geometry.

Lattice parameters (Å, degrees): 5.640 5.640 4.733 90.00 90.00 90.00
Atoms (fractional coordinates):
Ba (0.000, 0.000, 0.000)
Al (0.500, 0.500, 0.500)
Cu (0.500, 0.500, 0.000)
Te (0.000, 0.500, 0.500)
Te (0.500, 0.000, 0.500)

Results
calculated volume	150.5	Å³/f.u.
total energy	-3.71	eV per atom
mass density	5.3	g/cm³


Entry 6:
DFT (PBE-GGA) results for crystalline NaZrV2Ga at its relaxed geometry.

Lattice parameters (Å, degrees): 4.646 4.646 4.614 90.00 90.00 90.00
Atoms (fractional coordinates):
Na (0.000, 0.000, 0.000)
Zr (0.500, 0.500, 0.500)
V (0.000, 0.500, 0.000)
V (0.500, 0.000, 0.000)
Ga (0.000, 0.000, 0.500)

Results
calculated volume	99.6	Å³/f.u.
total energy	-4.80	eV per atom
mass density	4.8	g/cm³


Entry 7:
DFT (PBE-GGA) results for crystalline Dy5Er4In at its relaxed geometry.

Lattice parameters (Å, degrees): 3.539 3.539 24.138 90.00 90.00 90.00
Atoms (fractional coordinates):
Dy (0.000, 0.000, 0.000)
Dy (0.000, 0.000, 0.206)
Dy (0.000, 0.000, 0.412)
Dy (0.000, 0.000, 0.588)
Dy (0.000, 0.000, 0.794)
Er (0.500, 0.500, 0.103)
Er (0.500, 0.500, 0.308)
Er (0.500, 0.500, 0.692)
Er (0.500, 0.500, 0.897)
In (0.500, 0.500, 0.500)

Results
relative energy among the computed polymorphs	0	meV/atom
calculated volume	302.3	Å³/f.u.
total energy	-4.48	eV per atom
mass density	8.8	g/cm³


Entry 8:
DFT (PBE-GGA) results for crystalline K2NaCeF6 at its relaxed geometry.

Lattice parameters (Å, degrees): 6.434 6.434 6.434 60.00 60.00 60.00
Atoms (fractional coordinates):
K (0.250, 0.250, 0.250)
K (0.750, 0.750, 0.750)
Na (0.000, 0.000, 0.000)
Ce (0.500, 0.500, 0.500)
F (0.250, 0.250, 0.750)
F (0.250, 0.750, 0.250)
F (0.250, 0.750, 0.750)
F (0.750, 0.250, 0.250)
F (0.750, 0.250, 0.750)
F (0.750, 0.750, 0.250)

Results
calculated volume	188.4	Å³/f.u.
total energy	-5.28	eV per atom
mass density	3.1	g/cm³